Cs2NbAl2: relaxed, PBE-GGA.

Cell: 7.5326 7.5326 6.6850 Å, 90.00 90.00 90.00°
Atoms (fractional coordinates):
1 Cs 0.1701 0.3299 0.0000
2 Cs 0.3299 0.8299 0.0000
3 Cs 0.6701 0.1701 0.0000
4 Cs 0.8299 0.6701 0.0000
5 Nb 0.0000 0.0000 0.5000
6 Nb 0.5000 0.5000 0.5000
7 Al 0.1995 0.6995 0.5000
8 Al 0.3005 0.1995 0.5000
9 Al 0.6995 0.8005 0.5000
10 Al 0.8005 0.3005 0.5000

Total moment = 2.48 μB per formula unit

---

Tl2In3Ga2: relaxed, PBE-GGA.

Cell: 6.2039 6.2039 8.1877 Å, 112.14 112.14 40.43°
Atoms (fractional coordinates):
1 Tl 0.1461 0.1461 0.3063
2 Tl 0.8540 0.8540 0.6937
3 In 0.3823 0.3823 0.0538
4 In 0.5000 0.5000 0.5000
5 In 0.6177 0.6177 0.9462
6 Ga 0.1578 0.1578 0.7150
7 Ga 0.8422 0.8422 0.2850

Total moment = 0.00 μB per formula unit

---

no.,DFT total energy (eV per atom),formation energy from the elements (eV per atom)
1,-3.0395,0.8129
2,-2.6664,0.0481